15
Lattice="1.343 10.819 -4.023 -7.631 6.809 5.519 5.817 6.070 8.022" Properties=species:S:1:pos:R:3 comment="Cs6Rb8As | Alexandria via LeMat-Bulk | PBE-GGA | optimized geometry" total_magnetization_mub_per_cell=0.00 spacegroup=R-3 delta_e_f_mev_per_atom=-55 pbc="T T T"
Rb -0.116 5.859 2.353
Rb 4.690 15.382 2.248
Rb -5.161 8.316 7.270
Rb -0.354 17.839 7.165
Rb 5.447 8.932 6.259
Rb -5.917 14.765 3.259
Rb -0.867 12.031 -1.769
Rb 0.397 11.666 11.287
Cs -0.775 14.969 2.728
Cs 2.614 13.485 6.590
Cs 0.305 8.729 6.789
Cs 2.192 10.626 2.159
Cs -3.084 10.213 2.928
Cs -2.663 13.071 7.359
As 0.000 0.000 0.000